## As2HBr8 (PBE)

Data for an optimized crystal structure of As2HBr8.

Output
Its space group is C2/m.

a b c (Å): 7.6563 8.0216 8.0216
angles (deg): 75.03 94.23 94.23
Positions (direct):
As 0.3080 0.2063 0.2063
As 0.6920 0.7937 0.7937
H 0.0000 0.0000 0.0000
Br 0.8621 0.0850 0.7255
Br 0.1379 0.2745 0.9150
Br 0.6219 0.1962 0.1962
Br 0.3781 0.8038 0.8038
Br 0.8621 0.7255 0.0850
Br 0.1379 0.9150 0.2745
Br 0.2630 0.3910 0.3910
Br 0.7370 0.6090 0.6090


## AsHBr2 (PBE)

Data for an optimized crystal structure of AsHBr2.

Output
Its space group is R-3m.

a b c (Å): 8.2224 8.2224 8.2224
angles (deg): 25.06 25.06 25.06
Positions (direct):
H 0.0000 0.0000 0.0000
As 0.5000 0.5000 0.5000
Br 0.9276 0.9276 0.9276
Br 0.0724 0.0724 0.0724


## AsH3Br (PBE)

Data for an optimized crystal structure of AsH3Br.

Output
Its space group is R3m.

a b c (Å): 5.6634 5.6634 5.6634
angles (deg): 75.10 75.10 75.10
Positions (direct):
As 0.0069 0.0069 0.0069
As 0.5069 0.5069 0.5069
H 0.9487 0.9487 0.2929
H 0.2929 0.9487 0.9487
H 0.9487 0.2929 0.9487
H 0.4487 0.7929 0.4487
H 0.7929 0.4487 0.4487
H 0.4487 0.4487 0.7929
Br 0.7742 0.7742 0.7742
Br 0.2742 0.2742 0.2742


## As2H5Br2 (PBE)

Data for an optimized crystal structure of As2H5Br2.

Output
Its space group is Ima2.

a b c (Å): 5.0507 8.5786 9.5435
angles (deg): 116.71 105.34 90.00
Positions (direct):
As 0.0000 0.9318 0.0000
As 0.5000 0.4318 0.0000
As 0.8855 0.3347 0.5000
As 0.1145 0.8347 0.5000
H 0.2808 0.5124 0.9175
H 0.7193 0.5950 0.0825
H 0.1367 0.0124 0.9175
H 0.8633 0.0950 0.0825
H 0.8864 0.3760 0.3597
H 0.1136 0.0163 0.6403
H 0.9733 0.8760 0.3597
H 0.0267 0.5163 0.6403
H 0.8556 0.7426 0.5000
H 0.1444 0.2426 0.5000
Br 0.3243 0.5408 0.2541
Br 0.6757 0.2866 0.7459
Br 0.4298 0.0408 0.2541
Br 0.5702 0.7866 0.7459


## HfAs2HBr (PBE)

Data for an optimized crystal structure of HfAs2HBr.

Output
Its space group is P4/mmm.

a b c (Å): 4.0423 4.0423 5.1445
angles (deg): 90.00 90.00 90.00
Positions (direct):
H 0.0000 0.0000 0.0000
As 0.0000 0.5000 0.0000
As 0.5000 0.0000 0.0000
Hf 0.5000 0.5000 0.5000
Br 0.0000 0.0000 0.5000


## HfAs2HBr (PBE)

Data for an optimized crystal structure of HfAs2HBr.

Output
Its space group is P4/mmm.

a b c (Å): 5.1669 5.1669 5.4051
angles (deg): 90.00 90.00 90.00
Last column: magnetic moment on the atom in μB.
Positions (direct):
H 0.5000 0.5000 0.5000  0.37
As 0.0000 0.5000 0.0000  0.00
As 0.5000 0.0000 0.0000  0.00
Hf 0.0000 0.0000 0.0000  0.02
Br 0.0000 0.0000 0.5000  0.01


## HgAsHBr2 (PBE)

Data for an optimized crystal structure of HgAsHBr2.

Output
Its space group is P4/mmm.

a b c (Å): 5.4867 5.4867 3.5443
angles (deg): 90.00 90.00 90.00
Positions (direct):
H 0.0000 0.0000 0.0000
As 0.0000 0.0000 0.5000
Hg 0.5000 0.5000 0.5000
Br 0.0000 0.5000 0.0000
Br 0.5000 0.0000 0.0000


## HgAs2HBr (PBE)

Data for an optimized crystal structure of HgAs2HBr.

Output
Its space group is P4/mmm.

a b c (Å): 3.9749 3.9749 7.6044
angles (deg): 90.00 90.00 90.00
Positions (direct):
H 0.0000 0.0000 0.0000
As 0.0000 0.5000 0.0000
As 0.5000 0.0000 0.0000
Hg 0.5000 0.5000 0.5000
Br 0.0000 0.0000 0.5000


Electronic total energy? In order: -0.1798, -0.1855, -0.2350, -0.2383, -0.3409, -0.3287, -0.1436, -0.1800 Ry per atom.